(1)
A relaxed structure of FeSiBP, computed with PBE.

Computed properties:
formation energy without anion corrections: 0.044 eV per atom
raw total energy: -6.45 eV/atom
energy above the most stable polymorph in this dataset: 140 meV per atom

```
data_FeSiBP
_chemical_formula_sum 'Fe2 Si2 B2 P2'
_symmetry_space_group_name_H-M 'A m m 2'
_symmetry_Int_Tables_number 38
_cell_length_a 2.8943
_cell_length_b 2.9562
_cell_length_c 10.1659
_cell_angle_alpha 90.00
_cell_angle_beta 90.00
_cell_angle_gamma 90.00
loop_
_symmetry_equiv_pos_as_xyz
'x,y,z'
'-x,-y,z'
'-x,y,z'
'x,-y,z'
'x,y+1/2,z+1/2'
'-x,-y+1/2,z+1/2'
'-x,y+1/2,z+1/2'
'x,-y+1/2,z+1/2'
loop_
_atom_site_label
_atom_site_type_symbol
_atom_site_fract_x
_atom_site_fract_y
_atom_site_fract_z
Fe1 Fe 0.0000 0.0000 0.0000
Si1 Si 0.5000 0.0000 0.3808
B1 B 0.5000 0.0000 0.1732
P1 P 0.0000 0.0000 0.6680
```

(2)
A relaxed structure of NaPmSi, computed with PBE.

Computed properties:
formation energy without anion corrections: -0.220 eV per atom
raw total energy: -4.05 eV/atom
energy above the most stable polymorph in this dataset: 83 meV per atom

```
data_NaPmSi
_chemical_formula_sum 'Na4 Pm4 Si4'
_symmetry_space_group_name_H-M 'F -4 3 m'
_symmetry_Int_Tables_number 216
_symmetry_space_group_name_Hall 'F -4 2 3'
_cell_length_a 6.9787
_cell_length_b 6.9787
_cell_length_c 6.9787
_cell_angle_alpha 90.00
_cell_angle_beta 90.00
_cell_angle_gamma 90.00
loop_
_atom_site_label
_atom_site_type_symbol
_atom_site_fract_x
_atom_site_fract_y
_atom_site_fract_z
Na1 Na 0.0000 0.0000 0.0000
Pm1 Pm 0.0000 0.0000 0.5000
Si1 Si 0.2500 0.2500 0.7500
```

(3)
A relaxed structure of Cu2ClO, computed with PBE.

Computed properties:
formation energy without anion corrections: -0.268 eV per atom
raw total energy: -4.02 eV/atom
energy above the most stable polymorph in this dataset: 187 meV per atom

```
data_Cu2ClO
_chemical_formula_sum 'Cu8 Cl4 O4'
_symmetry_space_group_name_H-M 'C m m m'
_symmetry_Int_Tables_number 65
_symmetry_space_group_name_Hall '-C 2 2'
_cell_length_a 6.2515
_cell_length_b 13.2713
_cell_length_c 3.0101
_cell_angle_alpha 90.00
_cell_angle_beta 90.00
_cell_angle_gamma 90.00
loop_
_atom_site_label
_atom_site_type_symbol
_atom_site_fract_x
_atom_site_fract_y
_atom_site_fract_z
Cu1 Cu 0.0000 0.0000 0.0000
Cu2 Cu 0.0000 0.2251 0.5000
Cu3 Cu 0.0000 0.5000 0.5000
Cl1 Cl 0.0000 0.3598 0.0000
O1 O 0.0000 0.0886 0.5000
```

(4)
A relaxed structure of Pm2Pr6NdDy, computed with PBE.

Computed properties:
formation energy from the elements: 0.11 eV per atom
raw total energy: -4.64 eV/atom

```
data_Pm2Pr6NdDy
_chemical_formula_sum 'Pm8 Pr24 Nd4 Dy4'
_symmetry_space_group_name_H-M 'C 1 2/c 1'
_symmetry_Int_Tables_number 15
_cell_length_a 9.3429
_cell_length_b 15.4895
_cell_length_c 9.9354
_cell_angle_alpha 90.00
_cell_angle_beta 98.43
_cell_angle_gamma 90.00
loop_
_symmetry_equiv_pos_as_xyz
'x,y,z'
'-x,-y,-z'
'-x,y,-z+1/2'
'x,-y,z+1/2'
'x+1/2,y+1/2,z'
'-x+1/2,-y+1/2,-z'
'-x+1/2,y+1/2,-z+1/2'
'x+1/2,-y+1/2,z+1/2'
loop_
_atom_site_label
_atom_site_type_symbol
_atom_site_fract_x
_atom_site_fract_y
_atom_site_fract_z
Pm1 Pm 0.2460 0.0490 0.0440
Pr1 Pr 0.0658 0.1829 0.4461
Pr2 Pr 0.0993 0.3950 0.6190
Pr3 Pr 0.2096 0.2217 0.8118
Nd1 Nd 0.0000 0.0211 0.7500
Dy1 Dy 0.0000 0.4088 0.2500
```